The following is a DFT calculation (meta-GGA SCAN) of a crystal of AlRuPb relaxed with PBEsol.

## Properties
E_tot = -118.1 eV/cell
formation energy = 0.101 eV per atom

Structure (extended XYZ):
```
3
Lattice="-0.930 -1.732 3.908 -0.129 -4.345 0.492 3.122 -2.036 2.289" Properties=species:S:1:pos:R:3 pbc="T T T"
Pb 1.032 -4.056 3.345
Ru 0.516 -2.028 1.672
Al 0.000 0.000 0.000
```